# meta-GGA SCAN Ta2NiAs, single point on PBEsol structure
# Formation enthalpy at 0 K: -73 meV per atom
# VASP energy: -42.46 eV per atom
# Theoretical density: 13.61 g/cm³
# DOS at the Fermi energy: 0.924 states/eV/atom
data_Ta2NiAs
_cell_length_a 3.739
_cell_length_b 3.739
_cell_length_c 8.651
_cell_angle_alpha 90.00
_cell_angle_beta 90.00
_cell_angle_gamma 90.00
_symmetry_space_group_name_H-M 'I -4 m 2'
_symmetry_Int_Tables_number 119
_symmetry_space_group_name_Hall 'I -4 -2'
loop_
_atom_site_label
_atom_site_type_symbol
_atom_site_fract_x
_atom_site_fract_y
_atom_site_fract_z
Ta1 Ta 0.000 0.000 0.000
Ta2 Ta 0.000 0.500 0.250
Ni1 Ni 0.000 0.500 0.750
As1 As 0.000 0.000 0.500

=====

# meta-GGA SCAN TaNiAs, single point on PBEsol structure
# Formation enthalpy at 0 K: -352 meV per atom
# VASP energy: -34.67 eV per atom
# Theoretical density: 12.23 g/cm³
# DOS at the Fermi energy: 0.103 states/eV/atom
data_TaNiAs
_cell_length_a 3.8253
_cell_length_b 3.8253
_cell_length_c 3.3714
_cell_angle_alpha 90.00
_cell_angle_beta 90.00
_cell_angle_gamma 120.00
_symmetry_space_group_name_H-M 'P -6 m 2'
_symmetry_Int_Tables_number 187
_symmetry_space_group_name_Hall 'P -6 2'
loop_
_atom_site_label
_atom_site_type_symbol
_atom_site_fract_x
_atom_site_fract_y
_atom_site_fract_z
Ta1 Ta 0.0000 0.0000 0.0000
Ni1 Ni 0.6667 0.3333 0.5000
As1 As 0.3333 0.6667 0.5000

=====

# meta-GGA SCAN Tb2NiAs2, single point on PBEsol structure
# Formation enthalpy at 0 K: -1367 meV per atom
# VASP energy: -31.38 eV per atom
# Theoretical density: 8.68 g/cm³
# DOS at the Fermi energy: 0.202 states/eV/atom
data_Tb2NiAs2
_cell_length_a 4.0570
_cell_length_b 4.0570
_cell_length_c 14.1333
_cell_angle_alpha 90.00
_cell_angle_beta 90.00
_cell_angle_gamma 120.00
_symmetry_space_group_name_H-M 'P 63/m m c'
_symmetry_Int_Tables_number 194
_symmetry_space_group_name_Hall '-P 6c 2c'
loop_
_atom_site_label
_atom_site_type_symbol
_atom_site_fract_x
_atom_site_fract_y
_atom_site_fract_z
Tb1 Tb 0.3333 0.6667 0.1172
Ni1 Ni 0.0000 0.0000 0.2500
As1 As 0.0000 0.0000 0.0000
As2 As 0.3333 0.6667 0.7500

=====

# meta-GGA SCAN Tc2NiAs, single point on PBEsol structure
# Distance to the lowest polymorph of the same formula: 53.6 meV per atom
# Formation enthalpy at 0 K: 39 meV per atom
# VASP energy: -26.58 eV per atom
# Theoretical density: 10.51 g/cm³
# DOS at the Fermi energy: 0.654 states/eV/atom
data_Tc2NiAs
_cell_length_a 3.749
_cell_length_b 3.749
_cell_length_c 7.414
_cell_angle_alpha 90.00
_cell_angle_beta 90.00
_cell_angle_gamma 90.00
_symmetry_space_group_name_H-M 'I -4 m 2'
_symmetry_Int_Tables_number 119
_symmetry_space_group_name_Hall 'I -4 -2'
loop_
_atom_site_label
_atom_site_type_symbol
_atom_site_fract_x
_atom_site_fract_y
_atom_site_fract_z
Tc1 Tc 0.000 0.000 0.000
Tc2 Tc 0.000 0.500 0.250
Ni1 Ni 0.000 0.500 0.750
As1 As 0.000 0.000 0.500

=====

# meta-GGA SCAN TcNiAs2, single point on PBEsol structure
# Distance to the lowest polymorph of the same formula: 0.0 meV per atom
# Formation enthalpy at 0 K: 80 meV per atom
# VASP energy: -22.82 eV per atom
# Theoretical density: 9.14 g/cm³
# DOS at the Fermi energy: 0.358 states/eV/atom
data_TcNiAs2
_cell_length_a 6.062
_cell_length_b 6.062
_cell_length_c 6.062
_cell_angle_alpha 90.00
_cell_angle_beta 90.00
_cell_angle_gamma 90.00
_symmetry_space_group_name_H-M 'F m -3 m'
_symmetry_Int_Tables_number 225
_symmetry_space_group_name_Hall '-F 4 2 3'
loop_
_atom_site_label
_atom_site_type_symbol
_atom_site_fract_x
_atom_site_fract_y
_atom_site_fract_z
Tc1 Tc 0.000 0.000 0.000
Ni1 Ni 0.000 0.000 0.500
As1 As 0.250 0.250 0.250

=====

# meta-GGA SCAN TcNi2As, single point on PBEsol structure
# Formation enthalpy at 0 K: 238 meV per atom
# VASP energy: -21.66 eV per atom
# Theoretical density: 9.64 g/cm³
# DOS at the Fermi energy: 0.722 states/eV/atom
data_TcNi2As
_cell_length_a 5.848
_cell_length_b 5.848
_cell_length_c 5.848
_cell_angle_alpha 90.00
_cell_angle_beta 90.00
_cell_angle_gamma 90.00
_symmetry_space_group_name_H-M 'F m -3 m'
_symmetry_Int_Tables_number 225
_symmetry_space_group_name_Hall '-F 4 2 3'
loop_
_atom_site_label
_atom_site_type_symbol
_atom_site_fract_x
_atom_site_fract_y
_atom_site_fract_z
Tc1 Tc 0.000 0.000 0.000
Ni1 Ni 0.250 0.250 0.250
As1 As 0.000 0.000 0.500

=====

# meta-GGA SCAN Tc2NiAs, single point on PBEsol structure
# Distance to the lowest polymorph of the same formula: 139.2 meV per atom
# Formation enthalpy at 0 K: 125 meV per atom
# VASP energy: -26.50 eV per atom
# Theoretical density: 10.24 g/cm³
# DOS at the Fermi energy: 0.941 states/eV/atom
data_Tc2NiAs
_cell_length_a 8.328
_cell_length_b 2.785
_cell_length_c 4.716
_cell_angle_alpha 90.00
_cell_angle_beta 102.17
_cell_angle_gamma 90.00
_symmetry_space_group_name_H-M 'C 1 2/m 1'
_symmetry_Int_Tables_number 12
loop_
_symmetry_equiv_pos_as_xyz
'x,y,z'
'-x,-y,-z'
'-x,y,-z'
'x,-y,z'
'x+1/2,y+1/2,z'
'-x+1/2,-y+1/2,-z'
'-x+1/2,y+1/2,-z'
'x+1/2,-y+1/2,z'
loop_
_atom_site_label
_atom_site_type_symbol
_atom_site_fract_x
_atom_site_fract_y
_atom_site_fract_z
Tc1 Tc 0.248 0.000 0.265
Ni1 Ni 0.000 0.000 0.500
As1 As 0.000 0.500 0.000

=====

# meta-GGA SCAN Tc2NiAs, single point on PBEsol structure
# Distance to the lowest polymorph of the same formula: 0.0 meV per atom
# Formation enthalpy at 0 K: -14 meV per atom
# VASP energy: -26.64 eV per atom
# Theoretical density: 10.42 g/cm³
# DOS at the Fermi energy: 0.715 states/eV/atom
data_Tc2NiAs
_cell_length_a 3.924
_cell_length_b 2.800
_cell_length_c 9.564
_cell_angle_alpha 90.00
_cell_angle_beta 90.00
_cell_angle_gamma 90.00
_symmetry_space_group_name_H-M 'A m m 2'
_symmetry_Int_Tables_number 38
loop_
_symmetry_equiv_pos_as_xyz
'x,y,z'
'-x,-y,z'
'-x,y,z'
'x,-y,z'
'x,y+1/2,z+1/2'
'-x,-y+1/2,z+1/2'
'-x,y+1/2,z+1/2'
'x,-y+1/2,z+1/2'
loop_
_atom_site_label
_atom_site_type_symbol
_atom_site_fract_x
_atom_site_fract_y
_atom_site_fract_z
Tc1 Tc 0.000 0.000 0.000
Tc2 Tc 0.500 0.000 0.368
Ni1 Ni 0.500 0.000 0.625
As1 As 0.000 0.000 0.744

=====

# meta-GGA SCAN TcNiAs2, single point on PBEsol structure
# Distance to the lowest polymorph of the same formula: 229.1 meV per atom
# Formation enthalpy at 0 K: 309 meV per atom
# VASP energy: -22.60 eV per atom
# Theoretical density: 8.79 g/cm³
# DOS at the Fermi energy: 0.990 states/eV/atom
data_TcNiAs2
_cell_length_a 3.242
_cell_length_b 4.794
_cell_length_c 7.454
_cell_angle_alpha 90.00
_cell_angle_beta 90.00
_cell_angle_gamma 90.00
_symmetry_space_group_name_H-M 'C m m m'
_symmetry_Int_Tables_number 65
_symmetry_space_group_name_Hall '-C 2 2'
loop_
_atom_site_label
_atom_site_type_symbol
_atom_site_fract_x
_atom_site_fract_y
_atom_site_fract_z
Tc1 Tc 0.000 0.000 0.000
Ni1 Ni 0.000 0.000 0.500
As1 As 0.000 0.500 0.258

=====

# meta-GGA SCAN TiNiAs3, single point on PBEsol structure
# Formation enthalpy at 0 K: 628 meV per atom
# VASP energy: -17.93 eV per atom
# Theoretical density: 5.16 g/cm³
# DOS at the Fermi energy: 0.996 states/eV/atom
data_TiNiAs3
_cell_length_a 4.741
_cell_length_b 4.741
_cell_length_c 4.741
_cell_angle_alpha 90.00
_cell_angle_beta 90.00
_cell_angle_gamma 90.00
_symmetry_space_group_name_H-M 'P m -3 m'
_symmetry_Int_Tables_number 221
_symmetry_space_group_name_Hall '-P 4 2 3'
loop_
_atom_site_label
_atom_site_type_symbol
_atom_site_fract_x
_atom_site_fract_y
_atom_site_fract_z
Ti1 Ti 0.000 0.000 0.000
Ni1 Ni 0.500 0.500 0.500
As1 As 0.000 0.000 0.500

=====

# meta-GGA SCAN Ti3NiAs, single point on PBEsol structure
# Formation enthalpy at 0 K: 37 meV per atom
# VASP energy: -16.85 eV per atom
# Theoretical density: 5.28 g/cm³
# DOS at the Fermi energy: 0.821 states/eV/atom
data_Ti3NiAs
_cell_length_a 4.434
_cell_length_b 4.434
_cell_length_c 4.434
_cell_angle_alpha 90.00
_cell_angle_beta 90.00
_cell_angle_gamma 90.00
_symmetry_space_group_name_H-M 'P m -3 m'
_symmetry_Int_Tables_number 221
_symmetry_space_group_name_Hall '-P 4 2 3'
loop_
_atom_site_label
_atom_site_type_symbol
_atom_site_fract_x
_atom_site_fract_y
_atom_site_fract_z
Ti1 Ti 0.000 0.000 0.500
Ni1 Ni 0.000 0.000 0.000
As1 As 0.500 0.500 0.500

=====

# meta-GGA SCAN TlNiAs2, single point on PBEsol structure
# Distance to the lowest polymorph of the same formula: 231.7 meV per atom
# Formation enthalpy at 0 K: 104 meV per atom
# VASP energy: -32.12 eV per atom
# Theoretical density: 8.15 g/cm³
# DOS at the Fermi energy: 0.324 states/eV/atom
data_TlNiAs2
_cell_length_a 3.925
_cell_length_b 3.819
_cell_length_c 5.613
_cell_angle_alpha 90.00
_cell_angle_beta 92.15
_cell_angle_gamma 90.00
_symmetry_space_group_name_H-M 'P 1 m 1'
_symmetry_Int_Tables_number 6
loop_
_symmetry_equiv_pos_as_xyz
'x,y,z'
'x,-y,z'
loop_
_atom_site_label
_atom_site_type_symbol
_atom_site_fract_x
_atom_site_fract_y
_atom_site_fract_z
Tl1 Tl 0.000 0.000 0.000
Ni1 Ni 0.457 0.500 0.745
As1 As 0.498 0.000 0.499
As2 As 0.954 0.500 0.509

=====

# meta-GGA SCAN TlNiAs2, single point on PBEsol structure
# Distance to the lowest polymorph of the same formula: 621.1 meV per atom
# Formation enthalpy at 0 K: 493 meV per atom
# VASP energy: -31.74 eV per atom
# Theoretical density: 9.39 g/cm³
# DOS at the Fermi energy: 0.548 states/eV/atom
data_TlNiAs2
_cell_length_a 3.842
_cell_length_b 3.842
_cell_length_c 4.944
_cell_angle_alpha 90.00
_cell_angle_beta 90.00
_cell_angle_gamma 90.00
_symmetry_space_group_name_H-M 'P 4/m m m'
_symmetry_Int_Tables_number 123
_symmetry_space_group_name_Hall '-P 4 2'
loop_
_atom_site_label
_atom_site_type_symbol
_atom_site_fract_x
_atom_site_fract_y
_atom_site_fract_z
Tl1 Tl 0.000 0.000 0.000
Ni1 Ni 0.500 0.500 0.000
As1 As 0.000 0.500 0.500

=====

# meta-GGA SCAN TlNiAs2, single point on PBEsol structure
# Distance to the lowest polymorph of the same formula: 0.0 meV per atom
# Formation enthalpy at 0 K: -128 meV per atom
# VASP energy: -32.36 eV per atom
# Theoretical density: 8.63 g/cm³
# DOS at the Fermi energy: 0.382 states/eV/atom
data_TlNiAs2
_cell_length_a 6.460
_cell_length_b 3.714
_cell_length_c 6.960
_cell_angle_alpha 90.00
_cell_angle_beta 107.79
_cell_angle_gamma 90.00
_symmetry_space_group_name_H-M 'C 1 2/m 1'
_symmetry_Int_Tables_number 12
loop_
_symmetry_equiv_pos_as_xyz
'x,y,z'
'-x,-y,-z'
'-x,y,-z'
'x,-y,z'
'x+1/2,y+1/2,z'
'-x+1/2,-y+1/2,-z'
'-x+1/2,y+1/2,-z'
'x+1/2,-y+1/2,z'
loop_
_atom_site_label
_atom_site_type_symbol
_atom_site_fract_x
_atom_site_fract_y
_atom_site_fract_z
Tl1 Tl 0.000 0.000 0.000
Ni1 Ni 0.000 0.500 0.500
As1 As 0.218 0.000 0.652